1.
Material: CsSnN
Method: DFT, GGA-PBEsol
State: relaxed

Results
Formation energy without anion corrections = 0.0013 eV per atom
VASP energy = -4.57 eV per atom

a = 3.5122 Å, b = 3.5122 Å, c = 13.1021 Å
α = 90.00°, β = 90.00°, γ = 120.00°
Space group P6_3mc (No. 186)
Unique sites:
Cs: 0.3333 0.6667 0.0000 (multiplicity 2)
Sn: 0.0000 0.0000 0.2434 (multiplicity 2)
N: 0.3333 0.6667 0.6654 (multiplicity 2)



2.
Material: CsSnN2
Method: DFT, GGA-PBEsol
State: relaxed

Results
Formation energy without anion corrections = 0.3909 eV per atom
VASP energy = -5.17 eV per atom

a = 6.3337 Å, b = 6.3337 Å, c = 8.4228 Å
α = 90.00°, β = 90.00°, γ = 90.00°
Space group I-42d (No. 122)
Unique sites:
Cs: 0.0000 0.0000 0.0000 (multiplicity 4)
Sn: 0.0000 0.0000 0.5000 (multiplicity 4)
N: 0.1228 0.7500 0.6250 (multiplicity 8)



3.
Material: CsSrTe2N
Method: DFT, GGA-PBEsol
State: relaxed

Results
Formation energy without anion corrections = 0.7058 eV per atom
VASP energy = -2.97 eV per atom

a = 6.1935 Å, b = 6.1935 Å, c = 4.5742 Å
α = 90.00°, β = 90.00°, γ = 90.00°
Space group P4/mmm (No. 123)
Unique sites:
Cs: 0.0000 0.0000 0.0000 (multiplicity 1)
Sr: 0.5000 0.5000 0.5000 (multiplicity 1)
Te: 0.0000 0.5000 0.0000 (multiplicity 2)
N: 0.0000 0.0000 0.5000 (multiplicity 1)



4.
Material: Cs2TaN
Method: DFT, GGA-PBEsol
State: relaxed

Results
Formation energy without anion corrections = 0.4177 eV per atom
VASP energy = -5.32 eV per atom

a = 12.8031 Å, b = 12.8031 Å, c = 3.9931 Å
α = 90.00°, β = 90.00°, γ = 90.00°
Space group I-42d (No. 122)
Unique sites:
Cs: 0.0731 0.7500 0.1250 (multiplicity 8)
Ta: 0.0000 0.0000 0.5000 (multiplicity 4)
N: 0.0000 0.0000 0.0000 (multiplicity 4)



5.
Material: CsTaTe2N
Method: DFT, GGA-PBEsol
State: relaxed

Results
Formation energy without anion corrections = -0.2644 eV per atom
VASP energy = -6.08 eV per atom

a = 5.7934 Å, b = 5.7934 Å, c = 3.9400 Å
α = 90.00°, β = 90.00°, γ = 90.00°
Space group P4/mmm (No. 123)
Unique sites:
Cs: 0.0000 0.0000 0.0000 (multiplicity 1)
Ta: 0.5000 0.5000 0.5000 (multiplicity 1)
Te: 0.0000 0.5000 0.5000 (multiplicity 2)
N: 0.5000 0.5000 0.0000 (multiplicity 1)



6.
Material: CsTcTe2N
Method: DFT, GGA-PBEsol
State: relaxed

Results
Formation energy without anion corrections = 0.0371 eV per atom
VASP energy = -5.52 eV per atom

a = 5.7593 Å, b = 5.7593 Å, c = 3.7286 Å
α = 90.00°, β = 90.00°, γ = 90.00°
Space group P4/mmm (No. 123)
Unique sites:
Cs: 0.0000 0.0000 0.0000 (multiplicity 1)
Tc: 0.5000 0.5000 0.5000 (multiplicity 1)
Te: 0.0000 0.5000 0.5000 (multiplicity 2)
N: 0.5000 0.5000 0.0000 (multiplicity 1)



7.
Material: CsTe2N2
Method: DFT, GGA-PBEsol
State: relaxed

Results
Formation energy without anion corrections = 1.1439 eV per atom
VASP energy = -3.87 eV per atom

a = 4.5387 Å, b = 4.5387 Å, c = 6.3132 Å
α = 90.00°, β = 90.00°, γ = 90.00°
Space group P4/mmm (No. 123)
Unique sites:
Cs: 0.0000 0.0000 0.0000 (multiplicity 1)
Te: 0.0000 0.5000 0.5000 (multiplicity 2)
N: 0.5000 0.5000 0.0000 (multiplicity 1)
N: 0.5000 0.5000 0.5000 (multiplicity 1)



8.
Material: CsTlTeN2
Method: DFT, GGA-PBEsol
State: relaxed

Results
Formation energy without anion corrections = 1.9651 eV per atom
VASP energy = -2.87 eV per atom

a = 4.8286 Å, b = 4.8286 Å, c = 7.4169 Å
α = 90.00°, β = 90.00°, γ = 90.00°
Space group P4/mmm (No. 123)
Unique sites:
Cs: 0.0000 0.0000 0.0000 (multiplicity 1)
Tl: 0.5000 0.5000 0.5000 (multiplicity 1)
Te: 0.0000 0.0000 0.5000 (multiplicity 1)
N: 0.0000 0.5000 0.0000 (multiplicity 2)



9.
Material: CsTl3N
Method: DFT, GGA-PBEsol
State: relaxed

Results
Energy above the most stable polymorph in this dataset = 1235 meV/atom
Formation energy without anion corrections = 1.8559 eV per atom
VASP energy = -1.62 eV per atom

a = 6.6559 Å, b = 6.6559 Å, c = 6.6559 Å
α = 90.00°, β = 90.00°, γ = 90.00°
Space group Pm-3m (No. 221)
Unique sites:
Cs: 0.0000 0.0000 0.0000 (multiplicity 1)
Tl: 0.0000 0.0000 0.5000 (multiplicity 3)
N: 0.5000 0.5000 0.5000 (multiplicity 1)



10.
Material: CsTl3N
Method: DFT, GGA-PBEsol
State: relaxed

Results
Energy above the most stable polymorph in this dataset = 0 meV/atom
Formation energy without anion corrections = 0.6210 eV per atom
VASP energy = -2.85 eV per atom

a = 5.3200 Å, b = 5.3200 Å, c = 5.3200 Å
α = 90.00°, β = 90.00°, γ = 90.00°
Space group Pm-3m (No. 221)
Unique sites:
Cs: 0.0000 0.0000 0.0000 (multiplicity 1)
Tl: 0.0000 0.5000 0.5000 (multiplicity 3)
N: 0.5000 0.5000 0.5000 (multiplicity 1)



11.
Material: CsWN2
Method: DFT, GGA-PBEsol
State: relaxed

Results
Energy above the most stable polymorph in this dataset = 2582 meV/atom
Formation energy without anion corrections = 2.0327 eV per atom
VASP energy = -5.92 eV per atom

a = 5.8934 Å, b = 5.8934 Å, c = 5.8934 Å
α = 90.00°, β = 90.00°, γ = 90.00°
Space group Fm-3m (No. 225)
Unique sites:
Cs: 0.0000 0.0000 0.0000 (multiplicity 4)
W: 0.0000 0.0000 0.5000 (multiplicity 4)
N: 0.2500 0.2500 0.2500 (multiplicity 8)



12.
Material: CsWN2
Method: DFT, GGA-PBEsol
State: relaxed

Results
Energy above the most stable polymorph in this dataset = 0 meV/atom
Formation energy without anion corrections = -0.5496 eV per atom
VASP energy = -8.50 eV per atom

a = 8.7131 Å, b = 8.7131 Å, c = 8.7131 Å
α = 90.00°, β = 90.00°, γ = 90.00°
Space group Fd-3m (No. 227, origin choice 2)
Unique sites:
Cs: 0.1250 0.1250 0.1250 (multiplicity 8)
W: 0.1250 0.1250 0.6250 (multiplicity 8)
N: 0.0000 0.0000 0.5000 (multiplicity 16)



13.
Material: Cs2YN
Method: DFT, GGA-PBEsol
State: relaxed

Results
Formation energy without anion corrections = 1.5030 eV per atom
VASP energy = -2.81 eV per atom

a = 7.3990 Å, b = 7.3990 Å, c = 7.3990 Å
α = 90.00°, β = 90.00°, γ = 90.00°
Space group Fm-3m (No. 225)
Unique sites:
Cs: 0.2500 0.2500 0.2500 (multiplicity 8)
Y: 0.0000 0.0000 0.0000 (multiplicity 4)
N: 0.0000 0.0000 0.5000 (multiplicity 4)



14.
Material: CsYN3
Method: DFT, GGA-PBEsol
State: relaxed

Results
Formation energy without anion corrections = 1.6329 eV per atom
VASP energy = -5.04 eV per atom

a = 4.2805 Å, b = 4.2805 Å, c = 4.2805 Å
α = 90.00°, β = 90.00°, γ = 90.00°
Space group Pm-3m (No. 221)
Unique sites:
Cs: 0.0000 0.0000 0.0000 (multiplicity 1)
Y: 0.5000 0.5000 0.5000 (multiplicity 1)
N: 0.0000 0.0000 0.5000 (multiplicity 3)



15.
Material: CsZr3N
Method: DFT, GGA-PBEsol
State: relaxed

Results
Formation energy without anion corrections = 2.9997 eV per atom
VASP energy = -4.35 eV per atom

a = 5.1451 Å, b = 5.1451 Å, c = 5.1451 Å
α = 90.00°, β = 90.00°, γ = 90.00°
Space group Pm-3m (No. 221)
Unique sites:
Cs: 0.0000 0.0000 0.0000 (multiplicity 1)
Zr: 0.0000 0.0000 0.5000 (multiplicity 3)
N: 0.5000 0.5000 0.5000 (multiplicity 1)



16.
Material: CsNaNbRh2
Method: DFT, GGA-PBEsol
State: relaxed

Results
Formation energy from the elements = 2.058 eV per atom
VASP energy = -3.83 eV per atom

a = 4.8131 Å, b = 4.8131 Å, c = 4.9954 Å
α = 90.00°, β = 90.00°, γ = 90.00°
Space group P4/mmm (No. 123)
Unique sites:
Cs: 0.0000 0.0000 0.0000 (multiplicity 1)
Na: 0.5000 0.5000 0.5000 (multiplicity 1)
Nb: 0.5000 0.5000 0.0000 (multiplicity 1)
Rh: 0.0000 0.5000 0.5000 (multiplicity 2)



17.
Material: Cs3NaNi
Method: DFT, GGA-PBEsol
State: relaxed

Results
Formation energy from the elements = 0.877 eV per atom
VASP energy = -1.20 eV per atom

a = 7.2314 Å, b = 7.2314 Å, c = 7.2314 Å
α = 90.00°, β = 90.00°, γ = 90.00°
Space group Pm-3m (No. 221)
Unique sites:
Cs: 0.0000 0.0000 0.5000 (multiplicity 3)
Na: 0.0000 0.0000 0.0000 (multiplicity 1)
Ni: 0.5000 0.5000 0.5000 (multiplicity 1)



18.
Material: Cs2NaO
Method: DFT, GGA-PBEsol
State: relaxed

Results
Formation energy without anion corrections = -0.1695 eV per atom
VASP energy = -2.30 eV per atom

a = 7.8380 Å, b = 7.8380 Å, c = 7.8380 Å
α = 90.00°, β = 90.00°, γ = 90.00°
Space group Fm-3m (No. 225)
Unique sites:
Cs: 0.2500 0.2500 0.2500 (multiplicity 8)
Na: 0.0000 0.0000 0.0000 (multiplicity 4)
O: 0.0000 0.0000 0.5000 (multiplicity 4)



19.
Material: CsNa3PbO4
Method: DFT, GGA-PBEsol
State: relaxed

Results
Formation energy without anion corrections = -1.2868 eV per atom
VASP energy = -4.64 eV per atom

a = 6.7614 Å, b = 8.6933 Å, c = 11.5877 Å
α = 82.81°, β = 76.47°, γ = 79.50°
Space group P-1 (No. 2)
Unique sites:
Cs: 0.0047 0.3827 0.3794 (multiplicity 2)
Cs: 0.0359 0.1402 0.1255 (multiplicity 2)
Na: 0.1805 0.9488 0.3934 (multiplicity 2)
Na: 0.1875 0.4450 0.8972 (multiplicity 2)
Na: 0.1945 0.1806 0.6464 (multiplicity 2)
Na: 0.4303 0.0436 0.8766 (multiplicity 2)
Na: 0.4581 0.5692 0.3749 (multiplicity 2)
Na: 0.4732 0.3226 0.1155 (multiplicity 2)
Pb: 0.1734 0.7064 0.1482 (multiplicity 2)
Pb: 0.4428 0.7962 0.6316 (multiplicity 2)
O: 0.1353 0.1987 0.8531 (multiplicity 2)
O: 0.1660 0.7105 0.3286 (multiplicity 2)
O: 0.1796 0.9381 0.5933 (multiplicity 2)
O: 0.1822 0.4863 0.0914 (multiplicity 2)
O: 0.3402 0.6133 0.7560 (multiplicity 2)
O: 0.3705 0.8418 0.0324 (multiplicity 2)
O: 0.3768 0.3354 0.5046 (multiplicity 2)
O: 0.3858 0.1132 0.2727 (multiplicity 2)



20.
Material: CsNaSi2O5
Method: DFT, GGA-PBEsol
State: relaxed

Results
Formation energy without anion corrections = -2.5439 eV per atom
VASP energy = -7.00 eV per atom

a = 17.1435 Å, b = 4.9225 Å, c = 13.3991 Å
α = 90.00°, β = 90.00°, γ = 90.00°
Space group Pna2_1 (No. 33)
Unique sites:
Cs: 0.0166 0.2475 0.0000 (multiplicity 4)
Cs: 0.2343 0.7358 0.3672 (multiplicity 4)
Na: 0.0966 0.2449 0.2713 (multiplicity 4)
Na: 0.1537 0.7399 0.0951 (multiplicity 4)
Si: 0.0250 0.2777 0.7222 (multiplicity 4)
Si: 0.1050 0.7728 0.8191 (multiplicity 4)
Si: 0.1447 0.2195 0.5472 (multiplicity 4)
Si: 0.2247 0.7152 0.6441 (multiplicity 4)
O: 0.0346 0.5925 0.7653 (multiplicity 4)
O: 0.0629 0.2789 0.6090 (multiplicity 4)
O: 0.0645 0.8039 0.2215 (multiplicity 4)
O: 0.0818 0.0927 0.7947 (multiplicity 4)
O: 0.1153 0.7240 0.9348 (multiplicity 4)
O: 0.1344 0.2684 0.4316 (multiplicity 4)
O: 0.1677 0.8996 0.5717 (multiplicity 4)
O: 0.1859 0.2982 0.1447 (multiplicity 4)
O: 0.1869 0.7137 0.7574 (multiplicity 4)
O: 0.2152 0.4004 0.6007 (multiplicity 4)



21.
Material: CsNaTiO3
Method: DFT, GGA-PBEsol
State: relaxed

Results
Formation energy without anion corrections = -2.4352 eV per atom
VASP energy = -6.84 eV per atom

a = 5.9878 Å, b = 11.1603 Å, c = 5.6017 Å
α = 90.00°, β = 90.00°, γ = 90.00°
Space group Cmcm (No. 63)
Unique sites:
Cs: 0.0000 0.2331 0.2500 (multiplicity 4)
Na: 0.0000 0.0740 0.7500 (multiplicity 4)
Ti: 0.0000 0.4513 0.7500 (multiplicity 4)
O: 0.0000 0.2935 0.7500 (multiplicity 4)
O: 0.2121 0.5000 0.0000 (multiplicity 8)